(1)
First-principles (PBE-GGA) data for Sb3C5 after structural relaxation, as listed in Alexandria.

abc: 6.952 6.952 3.024
angles: 90.00 90.00 129.83
Fractional positions:
C  0.000  0.000  0.000
Sb  0.813  0.187  0.500
Sb  0.187  0.813  0.500
C  0.196  0.196  0.500
Sb  0.500  0.500  0.000
C  0.000  0.500  0.000
C  0.500  0.000  0.000
C  0.804  0.804  0.500

Summary:
V   14.029 Å³/atom
Density of states at the Fermi level   3.28 states/eV/f.u.
Energy relative to the elements, uncorrected   2.34 eV/atom
Offset from the most stable computed form   856 kJ/mol of formula units
Size of the total moment   0.000 μB per atom
E_tot   -4.969 eV per atom
SG   Cmmm (65)


(2)
First-principles (PBE-GGA) data for LiAg4Sn2 after structural relaxation, as listed in Alexandria.

abc: 5.070 9.938 11.322
angles: 90.00 90.00 90.00
Fractional positions:
Li  0.000  0.500  0.000
Ag  0.180  0.187  0.684
Ag  0.328  0.720  0.943
Sn  0.465  0.453  0.842
Ag  0.328  0.780  0.443
Ag  0.828  0.720  0.557
Sn  0.965  0.453  0.658
Ag  0.680  0.187  0.816
Sn  0.465  0.047  0.342
Sn  0.035  0.547  0.342
Ag  0.172  0.220  0.943
Ag  0.180  0.313  0.184
Sn  0.035  0.953  0.842
Ag  0.320  0.687  0.684
Ag  0.320  0.813  0.184
Ag  0.820  0.813  0.316
Li  0.500  0.000  0.000
Ag  0.828  0.780  0.057
Sn  0.965  0.047  0.158
Sn  0.535  0.547  0.158
Ag  0.172  0.280  0.443
Sn  0.535  0.953  0.658
Li  0.000  0.000  0.500
Ag  0.672  0.280  0.057
Ag  0.672  0.220  0.557
Ag  0.680  0.313  0.316
Ag  0.820  0.687  0.816
Li  0.500  0.500  0.500

Summary:
V   20.375 Å³/atom
Density of states at the Fermi level   1.87 states/eV/f.u.
Offset from the most stable computed form   5 kJ/mol of formula units
Size of the total moment   0.000 μB per atom
Formation energy   -0.042 eV per atom
E_tot   -3.088 eV per atom
SG   Pbca (61)


(3)
First-principles (PBE-GGA) data for SmTh4Bi5 after structural relaxation, as listed in Alexandria.

abc: 4.587 6.485 12.159
angles: 105.47 100.87 90.00
Fractional positions:
Th  0.200  0.200  0.399
Th  0.800  0.800  0.601
Sm  0.000  0.000  0.000
Bi  0.401  0.901  0.803
Bi  0.000  0.500  0.000
Th  0.600  0.600  0.200
Bi  0.599  0.099  0.197
Bi  0.200  0.700  0.400
Bi  0.800  0.300  0.600
Th  0.400  0.400  0.800

Summary:
V   34.183 Å³/atom
Density of states at the Fermi level   6.80 states/eV/f.u.
Size of the total moment   0.000 μB per atom
Formation energy   -0.635 eV per atom
E_tot   -6.015 eV per atom
SG   Immm (71)


(4)
First-principles (PBE-GGA) data for Ga2Co2Ge after structural relaxation, as listed in Alexandria.

abc: 6.183 6.183 3.562
angles: 90.00 90.00 90.00
Fractional positions:
Ga  0.650  0.850  0.500
Ge  0.000  0.000  0.000
Co  0.653  0.153  0.000
Ge  0.500  0.500  0.000
Ga  0.150  0.650  0.500
Co  0.847  0.653  0.000
Ga  0.850  0.350  0.500
Co  0.153  0.347  0.000
Co  0.347  0.847  0.000
Ga  0.350  0.150  0.500

Summary:
V   13.617 Å³/atom
Density of states at the Fermi level   4.15 states/eV/f.u.
Offset from the most stable computed form   69 kJ/mol of formula units
Size of the total moment   0.000 μB per atom
Formation energy   -0.121 eV per atom
E_tot   -5.098 eV per atom
SG   P4/mbm (127)